[1]
Density functional theory data (PBE-GGA) for a relaxed structure of SrLaTl2.

Cell: 8.838 8.838 7.621 Å, 90.00 90.00 90.00°
Space group I-42d (No. 122)
Inequivalent atoms, fractional coordinates:
Sr 0.000 0.000 0.000
La 0.000 0.000 0.500
Tl 0.242 0.250 0.625

Results
Uncorrected energy, eV per atom: -2.940
ΔE_f, eV per formula unit: -0.4
D(E_F), states/eV/atom: 1.060

=====

[2]
Density functional theory data (PBE-GGA) for a relaxed structure of Ca2NiAuN.

Cell: 5.039 5.039 3.612 Å, 90.00 90.00 90.00°
Space group P4/mmm (No. 123)
Inequivalent atoms, fractional coordinates:
Ca 0.000 0.500 0.000
Ni 0.000 0.000 0.500
Au 0.500 0.500 0.500
N 0.000 0.000 0.000

Results
Uncorrected energy, eV per atom: -4.984
E_form (uncorrected), eV per atom: -0.71
D(E_F), states/eV/atom: 0.594

=====

[3]
Density functional theory data (PBE-GGA) for a relaxed structure of TcTeOs2.

Cell: 3.070 4.562 9.172 Å, 90.00 90.00 90.00°
Space group Imm2 (No. 44)
Inequivalent atoms, fractional coordinates:
Tc 0.000 0.000 0.000
Te 0.000 0.500 0.729
Os 0.000 0.000 0.458
Os 0.000 0.500 0.228

Results
Uncorrected energy, eV per atom: -8.233
E_form (uncorrected), eV per atom: 0.76
D(E_F), states/eV/atom: 0.874

=====

Question: Which of these has the highest D(E_F)?
Answer: SrLaTl2

=====

Question: The lowest uncorrected energy belongs to which entry?
Answer: TcTeOs2

=====

Please write out number 1 again, unchanged.
Density functional theory data (PBE-GGA) for a relaxed structure of SrLaTl2.

Cell: 8.838 8.838 7.621 Å, 90.00 90.00 90.00°
Space group I-42d (No. 122)
Inequivalent atoms, fractional coordinates:
Sr 0.000 0.000 0.000
La 0.000 0.000 0.500
Tl 0.242 0.250 0.625

Results
Uncorrected energy, eV per atom: -2.940
ΔE_f, eV per formula unit: -0.4
D(E_F), states/eV/atom: 1.060